! Mn3CuF (PBE+U, relaxed); values from VASP
! ΔE to the lowest computed polymorph = 0 meV/atom
! E = -0.208 Ha/atom
! Size of the total moment = 2.7628 μB per atom
! Density = 4.93 g cm⁻³
&SYSTEM
  ibrav = 0, nat = 5, ntyp = 3
/
ATOMIC_SPECIES
Mn 54.94 Mn.upf
F 19.00 F.upf
Cu 63.55 Cu.upf
CELL_PARAMETERS angstrom
4.368 0.000 0.000
0.000 4.368 0.000
0.000 0.000 4.368
ATOMIC_POSITIONS crystal
Mn 0.000 0.500 0.000
Mn 0.500 0.000 0.000
Mn 0.000 0.000 0.500
F 0.000 0.000 0.000
Cu 0.500 0.500 0.500